1.
VASP calculation (GGA-PBE) on PmHgPb3 after structural relaxation.

a = 6.391 Å, b = 7.488 Å, c = 7.488 Å
α = 102.82°, β = 90.00°, γ = 90.00°
Atoms (fractional coordinates):
Pb1 0.000 0.000 0.000
Pb2 0.250 0.942 0.385
Pb3 0.750 0.058 0.615
Pb4 0.500 0.000 0.000
Pb5 0.250 0.615 0.058
Pb6 0.750 0.385 0.942
Hg1 0.750 0.483 0.517
Hg2 0.250 0.517 0.483
Pm1 0.750 0.758 0.242
Pm2 0.250 0.242 0.758

Energy of formation from the pure elements (eV per atom): -0.042
Calculated total energy (eV/atom): -3.28
Volume (Å³/f.u.): 174.7



2.
VASP calculation (GGA-PBE) on PmHgPb2 after structural relaxation.

a = 4.677 Å, b = 4.875 Å, c = 4.875 Å
α = 90.00°, β = 90.00°, γ = 90.00°
Atoms (fractional coordinates):
Pm1 0.500 0.500 0.500
Hg1 0.500 0.000 0.000
Pb1 0.000 0.500 0.000
Pb2 0.000 0.000 0.500

Energy of formation from the pure elements (eV per atom): -0.382
Calculated total energy (eV/atom): -3.50
Volume (Å³/f.u.): 111.1



3.
VASP calculation (GGA-PBE) on PmHgPb after structural relaxation.

a = 4.902 Å, b = 4.902 Å, c = 9.245 Å
α = 74.62°, β = 74.62°, γ = 60.00°
Atoms (fractional coordinates):
Pb1 0.696 0.696 0.911
Pb2 0.304 0.304 0.089
Hg1 0.845 0.845 0.464
Hg2 0.155 0.155 0.536
Pm1 0.568 0.568 0.296
Pm2 0.432 0.432 0.704

Energy of formation from the pure elements (eV per atom): -0.290
Calculated total energy (eV/atom): -3.21
Volume (Å³/f.u.): 91.6



4.
VASP calculation (GGA-PBE) on Pm8HgPb5 after structural relaxation.

a = 8.322 Å, b = 8.322 Å, c = 8.322 Å
α = 109.67°, β = 109.07°, γ = 109.67°
Atoms (fractional coordinates):
Hg1 0.250 0.500 0.750
Pb1 0.374 0.127 0.998
Pb2 0.753 0.624 0.626
Pb3 0.500 0.000 0.500
Pb4 0.871 0.873 0.247
Pb5 0.002 0.376 0.129
Pm1 0.631 0.393 0.876
Pm2 0.483 0.607 0.238
Pm3 0.131 0.752 0.017
Pm4 0.265 0.248 0.379
Pm5 0.983 0.114 0.735
Pm6 0.621 0.886 0.869
Pm7 0.762 0.245 0.369
Pm8 0.124 0.755 0.517

Energy of formation from the pure elements (eV per atom): -0.522
Calculated total energy (eV/atom): -4.58
Volume (Å³/f.u.): 443.7



5.
VASP calculation (GGA-PBE) on Pm3HgPb2 after structural relaxation.

a = 6.535 Å, b = 6.552 Å, c = 9.077 Å
α = 101.96°, β = 111.10°, γ = 90.00°
Atoms (fractional coordinates):
Pm1 0.277 0.100 0.338
Pm2 0.353 0.750 0.000
Pm3 0.939 0.400 0.662
Pm4 0.647 0.250 0.000
Pm5 0.061 0.600 0.338
Pm6 0.723 0.900 0.662
Pb1 0.765 0.055 0.320
Pb2 0.235 0.945 0.680
Pb3 0.445 0.445 0.680
Pb4 0.555 0.555 0.320
Hg1 0.131 0.250 0.000
Hg2 0.869 0.750 0.000

Energy of formation from the pure elements (eV per atom): -0.452
Calculated total energy (eV/atom): -4.11
Volume (Å³/f.u.): 176.8



6.
VASP calculation (GGA-PBE) on Pm6Hg2Pb3 after structural relaxation.

a = 4.857 Å, b = 4.857 Å, c = 15.735 Å
α = 98.88°, β = 98.88°, γ = 90.00°
Atoms (fractional coordinates):
Pm1 0.728 0.728 0.455
Pm2 0.429 0.929 0.859
Pm3 0.272 0.272 0.545
Pm4 0.929 0.429 0.859
Pm5 0.571 0.071 0.141
Pm6 0.071 0.571 0.141
Hg1 0.632 0.632 0.264
Hg2 0.368 0.368 0.736
Pb1 0.164 0.164 0.328
Pb2 0.000 0.000 0.000
Pb3 0.836 0.836 0.672

Energy of formation from the pure elements (eV per atom): -0.162
Calculated total energy (eV/atom): -3.82
Volume (Å³/f.u.): 362.2



7.
VASP calculation (GGA-PBE) on PmHg2Pb after structural relaxation.

a = 4.896 Å, b = 4.649 Å, c = 4.649 Å
α = 90.00°, β = 90.00°, γ = 90.00°
Atoms (fractional coordinates):
Pb1 0.500 0.000 0.000
Hg1 0.000 0.000 0.500
Hg2 0.000 0.500 0.000
Pm1 0.500 0.500 0.500

Energy of formation from the pure elements (eV per atom): -0.394
Calculated total energy (eV/atom): -2.66
Volume (Å³/f.u.): 105.8



8.
VASP calculation (GGA-PBE) on Pm5Hg2Pb2 after structural relaxation.

a = 8.260 Å, b = 8.279 Å, c = 9.135 Å
α = 116.95°, β = 90.00°, γ = 90.00°
Atoms (fractional coordinates):
Pm1 0.500 0.500 0.000
Pm2 0.333 0.959 0.282
Pm3 0.667 0.041 0.718
Pm4 0.833 0.541 0.718
Pm5 0.167 0.178 0.718
Pm6 0.333 0.678 0.718
Pm7 0.167 0.459 0.282
Pm8 0.667 0.322 0.282
Pm9 0.833 0.822 0.282
Pm10 0.000 0.000 0.000
Hg1 0.000 0.207 0.415
Hg2 0.500 0.293 0.585
Hg3 0.500 0.707 0.415
Hg4 0.000 0.793 0.585
Pb1 0.134 0.631 0.000
Pb2 0.634 0.869 0.000
Pb3 0.366 0.131 0.000
Pb4 0.866 0.369 0.000

Energy of formation from the pure elements (eV per atom): -0.458
Calculated total energy (eV/atom): -3.99
Volume (Å³/f.u.): 278.4



9.
VASP calculation (GGA-PBE) on PmHgPb after structural relaxation.

a = 3.775 Å, b = 3.775 Å, c = 6.546 Å
α = 106.76°, β = 106.76°, γ = 90.00°
Atoms (fractional coordinates):
Pm1 0.295 0.295 0.590
Pb1 0.607 0.607 0.213
Hg1 0.948 0.948 0.897

Energy of formation from the pure elements (eV per atom): -0.328
Calculated total energy (eV/atom): -3.25
Volume (Å³/f.u.): 85.2



10.
VASP calculation (GGA-PBE) on Pm6Hg5Pb after structural relaxation.

a = 5.404 Å, b = 7.680 Å, c = 8.575 Å
α = 90.00°, β = 108.38°, γ = 90.00°
Last column: magnetic moment on the atom in μB.
Atoms (fractional coordinates):
Pm1 0.500 0.748 0.000  0.23
Pm2 0.500 0.252 0.000  0.23
Pm3 0.832 0.254 0.664  0.23
Pm4 0.168 0.254 0.336  0.23
Pm5 0.168 0.746 0.336  0.23
Pm6 0.832 0.746 0.664  0.23
Hg1 0.335 0.500 0.668  0.03
Hg2 0.329 0.000 0.657  0.03
Hg3 0.000 0.500 0.000  0.03
Hg4 0.665 0.500 0.332  0.03
Hg5 0.671 0.000 0.343  0.03
Pb1 0.000 0.000 0.000  -0.01

Energy of formation from the pure elements (eV per atom): -0.485
Calculated total energy (eV/atom): -3.29
Volume (Å³/f.u.): 337.8



11.
VASP calculation (GGA-PBE) on PmHg4Pb7 after structural relaxation.

a = 6.360 Å, b = 9.393 Å, c = 7.419 Å
α = 70.41°, β = 64.62°, γ = 70.21°
Atoms (fractional coordinates):
Hg1 0.497 0.671 0.336
Hg2 0.263 0.344 0.130
Hg3 0.737 0.656 0.870
Hg4 0.503 0.329 0.664
Pb1 0.500 0.000 0.000
Pb2 0.261 0.670 0.808
Pb3 0.012 0.651 0.325
Pb4 0.754 0.965 0.526
Pb5 0.246 0.035 0.474
Pb6 0.739 0.330 0.192
Pb7 0.988 0.349 0.675
Pm1 0.000 0.000 0.000

Energy of formation from the pure elements (eV per atom): 0.038
Calculated total energy (eV/atom): -2.62
Volume (Å³/f.u.): 367.3



12.
VASP calculation (GGA-PBE) on Pm5Hg6Pb after structural relaxation.

a = 5.272 Å, b = 7.792 Å, c = 9.342 Å
α = 114.65°, β = 106.39°, γ = 90.00°
Atoms (fractional coordinates):
Hg1 0.500 0.716 0.000
Hg2 0.826 0.094 0.653
Hg3 0.500 0.284 0.000
Hg4 0.174 0.906 0.347
Hg5 0.174 0.441 0.347
Hg6 0.826 0.559 0.653
Pm1 0.640 0.140 0.281
Pm2 0.360 0.860 0.719
Pm3 0.000 0.500 0.000
Pm4 0.321 0.321 0.641
Pm5 0.679 0.679 0.359
Pb1 0.000 0.000 0.000

Energy of formation from the pure elements (eV per atom): -0.447
Calculated total energy (eV/atom): -2.89
Volume (Å³/f.u.): 331.5